Below is a geometry-optimized Ti2PbAu2 structure, with properties calculated at the PBE level.

Cell: 4.295 4.295 11.795 Å, 90.00 90.00 90.00°
Space group I4/mmm (No. 139)
Asymmetric unit:
Ti 0.000 0.500 0.250 x4
Pb 0.000 0.000 0.000 x2
Au 0.000 0.000 0.385 x4

## Properties
- M_tot: 3.5 μB/cell
- ΔE_f: -0.0351 eV/atom
- Final energy: -5.246 eV per atom

=====

Below is a geometry-optimized TiPbAu3 structure, with properties calculated at the PBE level.

Cell: 5.044 5.044 5.044 Å, 90.00 90.00 90.00°
Space group Pm-3m (No. 221)
Asymmetric unit:
Ti 0.000 0.000 0.000 x1
Pb 0.500 0.500 0.500 x1
Au 0.000 0.000 0.500 x3

## Properties
- M_tot: 1.3 μB/cell
- E above lowest polymorph: 0.000 eV per atom
- ΔE_f: 0.3830 eV/atom
- Final energy: -3.904 eV per atom

=====

Below is a geometry-optimized TiPb2Au structure, with properties calculated at the PBE level.

Cell: 7.206 7.206 7.206 Å, 90.00 90.00 90.00°
Space group Fm-3m (No. 225)
Asymmetric unit:
Ti 0.000 0.000 0.000 x4
Pb 0.250 0.250 0.250 x8
Au 0.000 0.000 0.500 x4

## Properties
- M_tot: 7.4 μB/cell
- E above lowest polymorph: 0.000 eV per atom
- ΔE_f: 0.2494 eV/atom
- Final energy: -4.398 eV per atom

=====

Below is a geometry-optimized Ti3PbAu structure, with properties calculated at the PBE level.

Cell: 5.135 5.135 5.135 Å, 90.00 90.00 90.00°
Space group Pm-3m (No. 221)
Asymmetric unit:
Ti 0.000 0.000 0.500 x3
Pb 0.000 0.000 0.000 x1
Au 0.500 0.500 0.500 x1

## Properties
- M_tot: 5.0 μB/cell
- E above lowest polymorph: 0.723 eV per atom
- ΔE_f: 1.2290 eV/atom
- Final energy: -4.905 eV per atom

=====

Number 1: calculated density 10.6 g/cm³. Number 2: calculated density 10.9 g/cm³. Number 3: calculated density 11.7 g/cm³. Number 4: calculated density 6.7 g/cm³.